1.
## Pm2Tm3Hg3 (GGA-PBE)

Data for an optimized crystal structure of Pm2Tm3Hg3.

Results
- DOS(E_F) (states/eV/cell) = 6.51
- formation energy from the elements (kcal/mol of atoms) = -7.86
- space group = No. 71

a b c (Å): 11.5718 11.5718 11.5718
angles (deg): 161.38 153.83 32.31
With the nearest neighbours (Å) after each atom.
Sites, in units of the cell vectors:
Pm 0.2306 0.2306 0.0000  2 Hg 3.21, 4 Pm 3.33
Pm 0.7694 0.7694 0.0000  2 Hg 3.21, 4 Pm 3.33
Tm 0.0000 0.0000 0.0000  8 Hg 3.14-3.22
Tm 0.3818 0.8818 0.5000  6 Hg 3.22-3.23
Tm 0.6182 0.1182 0.5000  6 Hg 3.22-3.23
Hg 0.1136 0.6136 0.5000  6 Tm 3.14-3.22, 2 Pm 3.21
Hg 0.5000 0.5000 0.0000  8 Tm 3.22-3.23
Hg 0.8864 0.3864 0.5000  6 Tm 3.14-3.22, 2 Pm 3.21

=====

2.
## LaZr2Pt2 (GGA-PBE)

Data for an optimized crystal structure of LaZr2Pt2.

Results
- DOS(E_F) (states/eV/cell) = 8.31
- formation energy from the elements (kcal/mol of atoms) = -16.66
- relative energy among the computed polymorphs (meV/atom) = 163
- space group = No. 127

a b c (Å): 8.0770 8.0770 3.2517
angles (deg): 90.00 90.00 90.00
With the nearest neighbours (Å) after each atom.
Sites, in units of the cell vectors:
La 0.0000 0.0000 0.0000  4 Zr 3.07, 2 La 3.25
La 0.5000 0.5000 0.0000  4 Zr 3.07, 2 La 3.25
Zr 0.1514 0.3486 0.0000  6 Pt 2.87-2.88, 2 La 3.07
Zr 0.3486 0.8486 0.0000  6 Pt 2.87-2.88, 2 La 3.07
Zr 0.6514 0.1514 0.0000  6 Pt 2.87-2.88, 2 La 3.07
Zr 0.8486 0.6514 0.0000  6 Pt 2.87-2.88, 2 La 3.07
Pt 0.1420 0.6420 0.5000  6 Zr 2.87-2.88
Pt 0.3580 0.1420 0.5000  6 Zr 2.87-2.88
Pt 0.6420 0.8580 0.5000  6 Zr 2.87-2.88
Pt 0.8580 0.3580 0.5000  6 Zr 2.87-2.88

=====

| no. | uncorrected energy (eV per formula unit) |
| --- | --- |
| 1 | -26.5 |
| 2 | -37.7 |